Entry from Alexandria: crystalline Ba2ZrNi at its relaxed geometry (PBE).

Its crystal system is orthorhombic. The value obtained for the magnetic moment is 0.00 μB per formula unit. The formation energy comes out at 0.72 eV per atom.

a = 8.0897 Å, b = 8.1344 Å, c = 3.7457 Å
α = 90.00°, β = 90.00°, γ = 90.00°
Space group Cmmm (No. 65)
Inequivalent atoms, fractional coordinates:
Ba 0.2500 0.2500 0.0000 (multiplicity 4)
Zr 0.0000 0.0000 0.5000 (multiplicity 2)
Ni 0.0000 0.5000 0.5000 (multiplicity 2)

***

Entry from Alexandria: crystalline BaZr2Ni at its relaxed geometry (PBE).

Its crystal system is tetragonal. The value obtained for the magnetic moment is 0.00 μB per formula unit. The formation energy comes out at 0.09 eV per atom.

a = 3.3888 Å, b = 3.3888 Å, c = 8.8456 Å
α = 90.00°, β = 90.00°, γ = 90.00°
Space group P4mm (No. 99)
Inequivalent atoms, fractional coordinates:
Ba 0.0000 0.0000 0.0000 (multiplicity 1)
Zr 0.0000 0.0000 0.4110 (multiplicity 1)
Zr 0.5000 0.5000 0.6372 (multiplicity 1)
Ni 0.5000 0.5000 0.2744 (multiplicity 1)